Here is TbPuCo2 after structural relaxation from Alexandria via LeMat-Bulk. Energies are from GGA-PBE.

a b c (Å): 3.3145 3.3145 6.7320
angles (deg): 90.00 90.00 90.00
With the nearest neighbours (Å) after each atom.
Element x y z (fractional)
Co 0.0000 0.0000 0.7711  4 Pu 2.80, 4 Tb 2.97, 1 Co 3.08
Co 0.0000 0.0000 0.2289  4 Pu 2.80, 4 Tb 2.97, 1 Co 3.08
Pu 0.5000 0.5000 0.0000  8 Co 2.80
Tb 0.5000 0.5000 0.5000  8 Co 2.97, 4 Tb 3.31

Summary:
The calculation puts the total DFT energy (no corrections) at -33.23 eV for the cell shown. As for the density of states at the Fermi level: 10.7 states/eV per cell. The space-group type is P4/mmm.